No. 1
This record from Alexandria describes an optimized crystal structure of Tm3InGa3. The functional is PBE.

abc: 4.8011 8.7585 8.7585
angles: 120.00 90.00 90.00
Element x y z (fractional)
Tm: 0.2500 0.3362 0.4336
Tm: 0.2500 0.0974 0.6638
Ga: 0.2500 0.9601 0.1660
Ga: 0.7500 0.0399 0.8340
Ga: 0.7500 0.1660 0.2060
In: 0.7500 0.3333 0.6667
Tm: 0.2500 0.5664 0.9026
Tm: 0.7500 0.9026 0.3362
Ga: 0.7500 0.7940 0.9601
Tm: 0.7500 0.4336 0.0974
Tm: 0.7500 0.6638 0.5664
In: 0.2500 0.6667 0.3333
Ga: 0.2500 0.8340 0.7940
Ga: 0.2500 0.2060 0.0399

For the total energy, the calculation gives -0.2972 Ry/atom.



No. 2
This record from Alexandria describes an optimized crystal structure of TmInGa. The functional is PBE.

abc: 3.4565 4.7248 4.7248
angles: 120.00 90.00 90.00
Element x y z (fractional)
In: 0.1832 0.3333 0.6667
Ga: 0.1446 0.0000 0.0000
Tm: 0.6723 0.6667 0.3333

For the total energy, the calculation gives -0.2818 Ry/atom.



No. 3
This record from Alexandria describes an optimized crystal structure of Tm2InGa2. The functional is PBE.

abc: 4.3709 7.1459 7.1459
angles: 90.00 90.00 90.00
Element x y z (fractional)
Tm: 0.5000 0.8282 0.3282
Ga: 0.0000 0.1258 0.3742
Tm: 0.5000 0.6718 0.8282
Tm: 0.5000 0.1718 0.6718
Ga: 0.0000 0.6258 0.1258
Ga: 0.0000 0.3742 0.8742
In: 0.0000 0.5000 0.5000
In: 0.0000 0.0000 0.0000
Tm: 0.5000 0.3282 0.1718
Ga: 0.0000 0.8742 0.6258

For the total energy, the calculation gives -0.3046 Ry/atom.



No. 4
This record from Alexandria describes an optimized crystal structure of Tm2InGa9. The functional is PBE.

abc: 4.2495 4.2495 13.1368
angles: 90.00 90.00 90.00
Element x y z (fractional)
Tm: 0.0000 0.0000 0.6590
In: 0.0000 0.0000 0.0000
Ga: 0.5000 0.5000 0.3370
Ga: 0.0000 0.5000 0.5000
Ga: 0.5000 0.5000 0.6630
Ga: 0.5000 0.0000 0.1726
Tm: 0.0000 0.0000 0.3410
Ga: 0.5000 0.5000 0.0000
Ga: 0.0000 0.5000 0.1726
Ga: 0.5000 0.0000 0.8274
Ga: 0.5000 0.0000 0.5000
Ga: 0.0000 0.5000 0.8274

For the total energy, the calculation gives -0.2598 Ry/atom.



No. 5
This record from Alexandria describes an optimized crystal structure of Tm7In2Ga2. The functional is PBE.

abc: 6.7522 7.2389 6.7522
angles: 90.00 108.35 90.00
Element x y z (fractional)
Tm: 0.0000 0.0000 0.0000
Tm: 0.0000 0.7274 0.5000
Ga: 0.2898 0.0000 0.7102
In: 0.1792 0.5000 0.1792
Tm: 0.5000 0.2726 0.0000
Tm: 0.5000 0.7274 0.0000
Ga: 0.7102 0.0000 0.2898
Tm: 0.0000 0.2726 0.5000
Tm: 0.5000 0.2479 0.5000
In: 0.8208 0.5000 0.8208
Tm: 0.5000 0.7521 0.5000

For the total energy, the calculation gives -0.2991 Ry/atom.



No. 6
This record from Alexandria describes an optimized crystal structure of TmZnInGa. The functional is PBE.

abc: 4.9148 4.9148 4.9148
angles: 60.00 60.00 60.00
Element x y z (fractional)
In: 0.0000 0.0000 0.0000
Zn: 0.7500 0.7500 0.7500
Tm: 0.5000 0.5000 0.5000
Ga: 0.2500 0.2500 0.2500

For the total energy, the calculation gives -0.2259 Ry/atom.



No. 7
This record from Alexandria describes an optimized crystal structure of UInGa4. The functional is PBE.

abc: 5.5613 5.5613 5.5613
angles: 60.00 60.00 60.00
Element x y z (fractional)
Ga: 0.6254 0.6254 0.1238
Ga: 0.1238 0.6254 0.6254
Ga: 0.6254 0.1238 0.6254
In: 0.2500 0.2500 0.2500
Ga: 0.6254 0.6254 0.6254
U: 0.0000 0.0000 0.0000

For the total energy, the calculation gives -0.3167 Ry/atom.



No. 8
This record from Alexandria describes an optimized crystal structure of U4InGa15. The functional is PBE.

abc: 4.2540 4.2540 21.7897
angles: 90.00 90.00 90.00
Element x y z (fractional)
U: 0.0000 0.0000 0.5981
Ga: 0.0000 0.5000 0.1071
Ga: 0.5000 0.0000 0.5000
Ga: 0.5000 0.0000 0.1071
Ga: 0.0000 0.5000 0.8929
U: 0.0000 0.0000 0.2056
Ga: 0.5000 0.5000 0.0000
Ga: 0.5000 0.5000 0.5974
Ga: 0.5000 0.5000 0.2095
Ga: 0.0000 0.5000 0.3040
Ga: 0.0000 0.5000 0.5000
Ga: 0.5000 0.0000 0.6960
Ga: 0.5000 0.0000 0.3040
Ga: 0.5000 0.0000 0.8929
Ga: 0.5000 0.5000 0.4026
Ga: 0.5000 0.5000 0.7905
Ga: 0.0000 0.5000 0.6960
In: 0.0000 0.0000 0.0000
U: 0.0000 0.0000 0.7944
U: 0.0000 0.0000 0.4019

For the total energy, the calculation gives -0.3539 Ry/atom.



No. 9
This record from Alexandria describes an optimized crystal structure of UIn2Ga. The functional is PBE.

abc: 4.6970 4.4412 4.4412
angles: 90.00 90.00 90.00
Element x y z (fractional)
In: 0.0000 0.5000 0.0000
In: 0.0000 0.0000 0.5000
U: 0.5000 0.0000 0.0000
Ga: 0.5000 0.5000 0.5000

For the total energy, the calculation gives -0.3671 Ry/atom.



No. 10
This record from Alexandria describes an optimized crystal structure of U2InGa9. The functional is PBE.

abc: 4.2399 4.2399 13.3060
angles: 90.00 90.00 90.00
Element x y z (fractional)
Ga: 0.0000 0.5000 0.1767
Ga: 0.5000 0.0000 0.1767
Ga: 0.0000 0.5000 0.8233
In: 0.0000 0.0000 0.0000
Ga: 0.5000 0.0000 0.8233
Ga: 0.0000 0.5000 0.5000
Ga: 0.5000 0.0000 0.5000
Ga: 0.5000 0.5000 0.6557
Ga: 0.5000 0.5000 0.3443
U: 0.0000 0.0000 0.3386
Ga: 0.5000 0.5000 0.0000
U: 0.0000 0.0000 0.6614

For the total energy, the calculation gives -0.3285 Ry/atom.



No. 11
This record from Alexandria describes an optimized crystal structure of UIn2Ga. The functional is PBE.

abc: 3.1204 3.1204 11.7034
angles: 82.34 82.34 60.00
Element x y z (fractional)
Ga: 0.5000 0.5000 0.5000
U: 0.0000 0.0000 0.0000
In: 0.0929 0.0929 0.7212
In: 0.9071 0.9071 0.2788

For the total energy, the calculation gives -0.3381 Ry/atom.



No. 12
This record from Alexandria describes an optimized crystal structure of U4InGa12. The functional is PBE.

abc: 7.5588 7.5588 7.5588
angles: 109.47 109.47 109.47
Element x y z (fractional)
Ga: 0.3126 0.0000 0.3126
Ga: 0.6874 0.6874 0.0000
Ga: 0.5000 0.2500 0.7500
Ga: 0.7500 0.5000 0.2500
Ga: 0.7500 0.2500 0.5000
Ga: 0.6874 0.0000 0.6874
In: 0.0000 0.0000 0.0000
Ga: 0.2500 0.7500 0.5000
U: 0.0000 0.0000 0.5000
U: 0.5000 0.0000 0.0000
Ga: 0.5000 0.7500 0.2500
U: 0.0000 0.5000 0.0000
Ga: 0.3126 0.3126 0.0000
Ga: 0.0000 0.3126 0.3126
Ga: 0.0000 0.6874 0.6874
Ga: 0.2500 0.5000 0.7500
U: 0.5000 0.5000 0.5000

For the total energy, the calculation gives -0.3755 Ry/atom.



No. 13
This record from Alexandria describes an optimized crystal structure of V2In2Ga. The functional is PBE.

abc: 6.5048 6.5048 4.3073
angles: 90.00 90.00 90.00
Element x y z (fractional)
In: 0.6668 0.8332 0.5000
In: 0.3332 0.1668 0.5000
V: 0.1347 0.3653 0.0000
Ga: 0.0000 0.0000 0.0000
In: 0.1668 0.6668 0.5000
Ga: 0.5000 0.5000 0.0000
V: 0.3653 0.8653 0.0000
V: 0.6347 0.1347 0.0000
In: 0.8332 0.3332 0.5000
V: 0.8653 0.6347 0.0000

For the total energy, the calculation gives -0.3846 Ry/atom.



No. 14
This record from Alexandria describes an optimized crystal structure of V3InGa. The functional is PBE.

abc: 4.5650 4.5650 4.5650
angles: 90.00 90.00 90.00
Element x y z (fractional)
In: 0.5000 0.5000 0.5000
Ga: 0.0000 0.0000 0.0000
V: 0.0000 0.5000 0.0000
V: 0.5000 0.0000 0.0000
V: 0.0000 0.0000 0.5000

For the total energy, the calculation gives -0.4221 Ry/atom.



No. 15
This record from Alexandria describes an optimized crystal structure of V3InGa. The functional is PBE.

abc: 4.8866 4.8866 4.8866
angles: 90.00 90.00 90.00
Element x y z (fractional)
V: 0.5000 0.0000 0.0000
Ga: 0.5000 0.5000 0.5000
V: 0.0000 0.0000 0.5000
V: 0.0000 0.5000 0.0000
In: 0.0000 0.0000 0.0000

For the total energy, the calculation gives -0.3633 Ry/atom.



No. 16
This record from Alexandria describes an optimized crystal structure of V2InGa2. The functional is PBE.

abc: 7.0662 7.0662 3.3477
angles: 90.00 90.00 90.00
Element x y z (fractional)
V: 0.1162 0.3838 0.0000
V: 0.6162 0.1162 0.0000
Ga: 0.1777 0.6777 0.5000
V: 0.8838 0.6162 0.0000
Ga: 0.3223 0.1777 0.5000
In: 0.0000 0.0000 0.0000
In: 0.5000 0.5000 0.0000
Ga: 0.8223 0.3223 0.5000
V: 0.3838 0.8838 0.0000
Ga: 0.6777 0.8223 0.5000

For the total energy, the calculation gives -0.3931 Ry/atom.



No. 17
This record from Alexandria describes an optimized crystal structure of VInGa3. The functional is PBE.

abc: 4.9043 4.9043 4.9043
angles: 90.00 90.00 90.00
Element x y z (fractional)
Ga: 0.0000 0.5000 0.0000
In: 0.5000 0.5000 0.5000
Ga: 0.5000 0.0000 0.0000
V: 0.0000 0.0000 0.0000
Ga: 0.0000 0.0000 0.5000

For the total energy, the calculation gives -0.2824 Ry/atom.



No. 18
This record from Alexandria describes an optimized crystal structure of V2InGa2. The functional is PBE.

abc: 7.0414 7.0414 3.3002
angles: 90.00 90.00 90.00
Element x y z (fractional)
Ga: 0.8757 0.6243 0.0000
Ga: 0.3757 0.8757 0.0000
In: 0.0000 0.0000 0.0000
V: 0.3264 0.1736 0.5000
V: 0.1736 0.6736 0.5000
Ga: 0.1243 0.3757 0.0000
In: 0.5000 0.5000 0.0000
V: 0.8264 0.3264 0.5000
Ga: 0.6243 0.1243 0.0000
V: 0.6736 0.8264 0.5000

For the total energy, the calculation gives -0.3915 Ry/atom.



No. 19
This record from Alexandria describes an optimized crystal structure of VZnIn2Ga. The functional is PBE.

abc: 5.2839 4.9856 5.2839
angles: 90.00 90.00 90.00
Element x y z (fractional)
In: 0.0000 0.0000 0.5000
Zn: 0.0000 0.5000 0.0000
Ga: 0.5000 0.5000 0.5000
V: 0.0000 0.0000 0.0000
In: 0.5000 0.0000 0.0000

For the total energy, the calculation gives -0.2330 Ry/atom.



No. 20
This record from Alexandria describes an optimized crystal structure of ZrVIn2Ga. The functional is PBE.

abc: 5.2419 4.7076 5.2419
angles: 90.00 90.00 90.00
Element x y z (fractional)
Zr: 0.0000 0.5000 0.0000
Ga: 0.5000 0.5000 0.5000
In: 0.0000 0.0000 0.5000
In: 0.5000 0.0000 0.0000
V: 0.0000 0.0000 0.0000

For the total energy, the calculation gives -0.3469 Ry/atom.



No. 21
This record from Alexandria describes an optimized crystal structure of InGa3W. The functional is PBE.

abc: 4.9935 4.9935 4.9935
angles: 90.00 90.00 90.00
Element x y z (fractional)
W: 0.0000 0.0000 0.0000
Ga: 0.0000 0.5000 0.0000
Ga: 0.0000 0.0000 0.5000
In: 0.5000 0.5000 0.5000
Ga: 0.5000 0.0000 0.0000

For the total energy, the calculation gives -0.3327 Ry/atom.



No. 22
This record from Alexandria describes an optimized crystal structure of InGa2W. The functional is PBE.

abc: 7.6359 7.6359 6.0817
angles: 51.11 51.11 90.00
Element x y z (fractional)
In: 0.5000 0.5000 0.0000
Ga: 0.8750 0.9178 0.7500
W: 0.7500 0.2500 0.5000
Ga: 0.3750 0.3322 0.7500
Ga: 0.0822 0.6250 0.2500
Ga: 0.6678 0.1250 0.2500
W: 0.0000 0.0000 0.0000
In: 0.2500 0.7500 0.5000

For the total energy, the calculation gives -0.3515 Ry/atom.



No. 23
This record from Alexandria describes an optimized crystal structure of In3GaW. The functional is PBE.

abc: 5.2006 5.2006 5.2006
angles: 90.00 90.00 90.00
Element x y z (fractional)
In: 0.0000 0.5000 0.0000
In: 0.0000 0.0000 0.5000
Ga: 0.0000 0.0000 0.0000
In: 0.5000 0.0000 0.0000
W: 0.5000 0.5000 0.5000

For the total energy, the calculation gives -0.2560 Ry/atom.



No. 24
This record from Alexandria describes an optimized crystal structure of InGaW2. The functional is PBE.

abc: 3.8865 3.8865 10.2817
angles: 79.11 79.11 90.00
Element x y z (fractional)
W: 0.1485 0.6250 0.2500
In: 0.7500 0.2500 0.5000
W: 0.8750 0.8515 0.7500
W: 0.3750 0.3985 0.7500
W: 0.6015 0.1250 0.2500
Ga: 0.2500 0.7500 0.5000
Ga: 0.5000 0.5000 0.0000
In: 0.0000 0.0000 0.0000

For the total energy, the calculation gives -0.5269 Ry/atom.



Number 1: M_tot 0.0000 μB per atom. Number 2: M_tot 0.0000 μB per atom. Number 3: M_tot 0.0000 μB per atom. Number 4: M_tot 0.0000 μB per atom. Number 5: M_tot 0.0000 μB per atom. Number 6: M_tot 0.0000 μB per atom. Number 7: M_tot 0.5556 μB per atom. Number 8: M_tot 0.4755 μB per atom. Number 9: M_tot 0.6712 μB per atom. Number 10: M_tot 0.3857 μB per atom. Number 11: M_tot 0.7328 μB per atom. Number 12: M_tot 0.5744 μB per atom. Number 13: M_tot 0.0003 μB per atom. Number 14: M_tot 0.7040 μB per atom. Number 15: M_tot 1.0814 μB per atom. Number 16: M_tot 0.0000 μB per atom. Number 17: M_tot 0.1035 μB per atom. Number 18: M_tot 0.6742 μB per atom. Number 19: M_tot 0.5840 μB per atom. Number 20: M_tot 0.1200 μB per atom. Number 21: M_tot 0.0000 μB per atom. Number 22: M_tot 0.0000 μB per atom. Number 23: M_tot 0.8083 μB per atom. Number 24: M_tot 0.0000 μB per atom.